Model one:
A relaxed Rb2Sb2Pb crystal. Source: the Alexandria database, functional GGA-PBE.

a b c (Å): 5.881 7.194 10.934
angles (deg): 80.54 74.40 65.87
Sites, in units of the cell vectors:
Rb (0.323, 0.257, 0.098)
Rb (0.487, 0.341, 0.685)
Rb (0.677, 0.743, 0.902)
Rb (0.513, 0.659, 0.315)
Sb (0.979, 0.150, 0.892)
Sb (0.129, 0.297, 0.444)
Sb (0.021, 0.850, 0.108)
Sb (0.871, 0.703, 0.556)
Pb (0.785, 0.071, 0.360)
Pb (0.215, 0.929, 0.640)

Summary:
- spin magnetization (μB per formula unit) = 0.00
- calculated volume (Å³ per cell) = 405.91
- ρ (kg/m³) = 5086

---

Model two:
A relaxed Rb2Sb2Pb crystal. Source: the Alexandria database, functional GGA-PBE.

a b c (Å): 8.256 8.256 5.878
angles (deg): 90.00 90.00 90.00
Sites, in units of the cell vectors:
Pb (0.000, 0.000, 0.000)
Pb (0.500, 0.500, 0.000)
Sb (0.378, 0.878, 0.000)
Sb (0.878, 0.622, 0.000)
Sb (0.622, 0.122, 0.000)
Sb (0.122, 0.378, 0.000)
Rb (0.176, 0.676, 0.500)
Rb (0.676, 0.824, 0.500)
Rb (0.824, 0.324, 0.500)
Rb (0.324, 0.176, 0.500)

Summary:
- spin magnetization (μB per formula unit) = 0.00
- calculated volume (Å³ per cell) = 400.62
- ρ (kg/m³) = 5153

---

Model three:
A relaxed Rb2Sb2Pb crystal. Source: the Alexandria database, functional GGA-PBE.

a b c (Å): 10.712 10.712 3.324
angles (deg): 90.00 90.00 90.00
Sites, in units of the cell vectors:
Pb (0.000, 0.000, 0.000)
Pb (0.500, 0.500, 0.000)
Sb (0.184, 0.684, 0.500)
Sb (0.684, 0.816, 0.500)
Sb (0.816, 0.316, 0.500)
Sb (0.316, 0.184, 0.500)
Rb (0.385, 0.885, 0.000)
Rb (0.885, 0.615, 0.000)
Rb (0.615, 0.115, 0.000)
Rb (0.115, 0.385, 0.000)

Summary:
- spin magnetization (μB per formula unit) = 0.00
- calculated volume (Å³ per cell) = 381.36
- ρ (kg/m³) = 5414

---

Model four:
A relaxed Rb2Sb2Pb crystal. Source: the Alexandria database, functional GGA-PBE.

a b c (Å): 5.033 5.033 8.565
angles (deg): 72.91 72.91 90.00
Sites, in units of the cell vectors:
Pb (0.000, 0.000, 0.000)
Sb (0.411, 0.411, 0.177)
Sb (0.589, 0.589, 0.823)
Rb (0.750, 0.250, 0.500)
Rb (0.250, 0.750, 0.500)

Summary:
- spin magnetization (μB per formula unit) = 0.00
- calculated volume (Å³ per cell) = 197.32
- ρ (kg/m³) = 5231

---

The structure with the greatest stability is model one.